Compound: PmNi2Pb
Source: the Alexandria database
Functional: PBE-GGA
Structure: relaxed

It has space group P4/mmm (No. 123), with a = 4.6539 Å, b = 4.6539 Å, c = 3.5578 Å, α = 90.00°, β = 90.00° and γ = 90.00°. Symmetry generates all atoms from Pm at (0.0000, 0.0000, 0.0000), Ni at (0.0000, 0.5000, 0.5000) and Pb at (0.5000, 0.5000, 0.0000).

The calculation puts the formation energy at -90 meV per atom.

***

Compound: BaCd4Pb
Source: the Alexandria database
Functional: PBE-GGA
Structure: relaxed

It has space group I4/mmm (No. 139), with a = 12.8813 Å, b = 12.8813 Å, c = 8.9255 Å, α = 90.00°, β = 90.00° and γ = 90.00°. Symmetry generates all atoms from Ba at (0.0000, 0.0000, 0.2287), Ba at (0.0000, 0.5000, 0.2500), Cd at (0.1089, 0.2710, 0.0000), Cd at (0.1796, 0.1796, 0.3130) and Pb at (0.0000, 0.2662, 0.5000).

The calculation puts the formation energy at -136 meV per atom.

***

Compound: B6MoN6
Source: the Alexandria database
Functional: PBE-GGA
Structure: relaxed

It has space group Pm-3 (No. 200), with a = 4.5951 Å, b = 4.5951 Å, c = 4.5951 Å, α = 90.00°, β = 90.00° and γ = 90.00°. Symmetry generates all atoms from B at (0.0000, 0.2409, 0.5000), Mo at (0.0000, 0.0000, 0.0000) and N at (0.0000, 0.5000, 0.2525).

Its calculated total energy is -101.21 eV per cell.

***

Compound: CeCl5
Source: the Alexandria database
Functional: PBE-GGA
Structure: relaxed

It has space group C2/m (No. 12), with a = 13.9715 Å, b = 3.5345 Å, c = 8.4036 Å, α = 90.00°, β = 116.69° and γ = 90.00°. Symmetry generates all atoms from Ce at (0.0000, 0.0000, 0.0000), Cl at (0.0000, 0.0000, 0.5000), Cl at (0.1064, 0.5000, 0.8718) and Cl at (0.1400, 0.5000, 0.2542).

Its calculated total energy is -45.44 eV per cell.

***

Compound: BaH2S
Source: the Alexandria database
Functional: PBE-GGA
Structure: relaxed

It has space group I-42d (No. 122), with a = 4.4527 Å, b = 4.4527 Å, c = 14.3395 Å, α = 90.00°, β = 90.00° and γ = 90.00°. Symmetry generates all atoms from Ba at (0.0000, 0.0000, 0.0000), H at (0.1213, 0.2500, 0.6250) and S at (0.0000, 0.0000, 0.5000).

Its calculated total energy is -52.86 eV per cell.

***

Compound: ZrIrRh2
Source: the Alexandria database
Functional: PBE-GGA
Structure: relaxed

It has space group C2/m (No. 12), with a = 9.2488 Å, b = 2.9344 Å, c = 4.8131 Å, α = 90.00°, β = 101.28° and γ = 90.00°. Symmetry generates all atoms from Zr at (0.0000, 0.0000, 0.0000), Ir at (0.0000, 0.5000, 0.5000) and Rh at (0.2463, 0.0000, 0.7340).

The calculation puts the formation energy at -397 meV per atom.

***

Which formula does entry 6 have? ZrIrRh2

***

Copy entry 3 word for word.
Compound: B6MoN6
Source: the Alexandria database
Functional: PBE-GGA
Structure: relaxed

It has space group Pm-3 (No. 200), with a = 4.5951 Å, b = 4.5951 Å, c = 4.5951 Å, α = 90.00°, β = 90.00° and γ = 90.00°. Symmetry generates all atoms from B at (0.0000, 0.2409, 0.5000), Mo at (0.0000, 0.0000, 0.0000) and N at (0.0000, 0.5000, 0.2525).

Its calculated total energy is -101.21 eV per cell.